Run one
A plane-wave DFT calculation with PBE was carried out for a relaxed Na2Ag5Sn3 crystal.

```
data_Na2Ag5Sn3
_cell_length_a 5.990
_cell_length_b 9.424
_cell_length_c 9.424
_cell_angle_alpha 89.75
_cell_angle_beta 71.47
_cell_angle_gamma 71.47
_symmetry_space_group_name_H-M 'P 1'
_symmetry_Int_Tables_number 1
loop_
_symmetry_equiv_pos_as_xyz
'x,y,z'
loop_
_atom_site_label
_atom_site_type_symbol
_atom_site_fract_x
_atom_site_fract_y
_atom_site_fract_z
Ag1 Ag 0.623 0.725 0.030
Ag2 Ag 0.877 0.970 0.275
Ag3 Ag 0.002 0.248 0.248
Ag4 Ag 0.998 0.752 0.752
Ag5 Ag 0.250 0.500 0.500
Ag6 Ag 0.502 0.248 0.248
Ag7 Ag 0.123 0.030 0.725
Ag8 Ag 0.498 0.752 0.752
Ag9 Ag 0.750 0.500 0.500
Ag10 Ag 0.377 0.275 0.970
Sn1 Sn 0.129 0.229 0.514
Sn2 Sn 0.371 0.486 0.771
Sn3 Sn 0.750 0.000 0.000
Sn4 Sn 0.250 0.000 0.000
Sn5 Sn 0.871 0.771 0.486
Sn6 Sn 0.629 0.514 0.229
Na1 Na 0.125 0.623 0.127
Na2 Na 0.375 0.873 0.377
Na3 Na 0.875 0.377 0.873
Na4 Na 0.625 0.127 0.623
```

symmetry = Ibam
calculated volume = 23.78 Å³ per atom

***

Run two
A plane-wave DFT calculation with PBE was carried out for a relaxed Na2Ag5Sn3 crystal.

```
data_Na2Ag5Sn3
_cell_length_a 5.938
_cell_length_b 8.722
_cell_length_c 8.722
_cell_angle_alpha 104.00
_cell_angle_beta 94.41
_cell_angle_gamma 94.41
_symmetry_space_group_name_H-M 'P 1'
_symmetry_Int_Tables_number 1
loop_
_symmetry_equiv_pos_as_xyz
'x,y,z'
loop_
_atom_site_label
_atom_site_type_symbol
_atom_site_fract_x
_atom_site_fract_y
_atom_site_fract_z
Sn1 Sn 0.882 0.223 0.517
Sn2 Sn 0.750 0.963 0.037
Sn3 Sn 0.250 0.037 0.963
Sn4 Sn 0.382 0.517 0.223
Sn5 Sn 0.618 0.483 0.777
Sn6 Sn 0.118 0.777 0.483
Ag1 Ag 0.140 0.975 0.271
Ag2 Ag 0.250 0.463 0.537
Ag3 Ag 0.989 0.713 0.779
Ag4 Ag 0.360 0.729 0.025
Ag5 Ag 0.489 0.779 0.713
Ag6 Ag 0.860 0.025 0.729
Ag7 Ag 0.640 0.271 0.975
Ag8 Ag 0.011 0.287 0.221
Ag9 Ag 0.511 0.221 0.287
Ag10 Ag 0.750 0.537 0.463
Na1 Na 0.121 0.377 0.873
Na2 Na 0.879 0.623 0.127
Na3 Na 0.380 0.127 0.623
Na4 Na 0.620 0.873 0.377
```

symmetry = C2/c
calculated volume = 21.75 Å³ per atom

***

Q: Which of them is the least stable? A: run one.